DFT (SCAN) results for a crystal of Mg13Al14 relaxed with PBEsol. Values from VASP.

Computed properties:
E_form: 71 meV/atom
SG: Im-3m, No. 229
Fermi-level density of states: 0.40 states/eV/atom
total moment: 0.000 μB/atom

Structure (Quantum ESPRESSO input):
```
&SYSTEM
  ibrav = 0, nat = 27, ntyp = 2
/
ATOMIC_SPECIES
Al 26.98 Al.upf
Mg 24.30 Mg.upf
ATOMIC_POSITIONS crystal
Al 0.000 0.303 0.303
Al 0.342 0.342 0.342
Al 0.658 0.000 0.000
Al 0.697 0.697 0.000
Al 0.000 0.697 0.697
Al 0.697 0.000 0.697
Al 0.000 0.000 0.342
Al 0.303 0.303 0.000
Al 0.658 0.658 0.658
Al 0.342 0.000 0.000
Al 0.000 0.658 0.000
Al 0.303 0.000 0.303
Al 0.000 0.000 0.658
Al 0.000 0.342 0.000
Mg 0.343 0.657 0.000
Mg 0.343 0.343 0.685
Mg 0.657 0.657 0.315
Mg 0.685 0.343 0.343
Mg 0.343 0.685 0.343
Mg 0.343 0.000 0.657
Mg 0.657 0.343 0.000
Mg 0.315 0.657 0.657
Mg 0.000 0.343 0.657
Mg 0.657 0.000 0.343
Mg 0.657 0.315 0.657
Mg 0.000 0.657 0.343
Mg 0.000 0.000 0.000
CELL_PARAMETERS angstrom
8.760 0.000 0.000
-2.920 8.259 0.000
-2.920 -4.129 7.152
```



DFT (SCAN) results for a crystal of ZrTi2AlTe relaxed with PBEsol. Values from VASP.

Computed properties:
formation energy without anion corrections: 0.969 eV per atom
SG: P4/mmm, No. 123
Fermi-level density of states: 0.86 states/eV/atom
total moment: 0.000 μB/atom

Structure (Quantum ESPRESSO input):
```
&SYSTEM
  ibrav = 0, nat = 5, ntyp = 4
/
ATOMIC_SPECIES
Te 127.60 Te.upf
Al 26.98 Al.upf
Zr 91.22 Zr.upf
Ti 47.87 Ti.upf
ATOMIC_POSITIONS crystal
Te 0.500 0.500 0.500
Al 0.000 0.000 0.500
Zr 0.000 0.000 0.000
Ti 0.000 0.500 0.000
Ti 0.500 0.000 0.000
CELL_PARAMETERS angstrom
-0.096 -1.661 4.464
4.263 -2.021 -0.660
2.308 4.326 1.659
```



DFT (SCAN) results for a crystal of Ti2H2Pb relaxed with PBEsol. Values from VASP.

Computed properties:
SG: I4/mmm, No. 139
total energy: -116.65 eV/cell
Fermi-level density of states: 0.34 states/eV/atom
total moment: 0.000 μB/atom

Structure (Quantum ESPRESSO input):
```
&SYSTEM
  ibrav = 0, nat = 5, ntyp = 3
/
ATOMIC_SPECIES
Pb 207.20 Pb.upf
H 1.01 H.upf
Ti 47.87 Ti.upf
ATOMIC_POSITIONS crystal
Pb 0.000 0.000 0.000
H 0.750 0.250 0.500
H 0.250 0.750 0.500
Ti 0.675 0.675 0.349
Ti 0.325 0.325 0.651
CELL_PARAMETERS angstrom
3.580 0.000 0.000
0.000 3.580 0.000
-1.790 -1.790 4.602
```